# 1
Cs2Tl2Sb3: relaxed, PBE-GGA.

Structure (extended XYZ):
```
7
Lattice="6.829 -2.700 0.000 6.829 2.700 0.000 -3.401 0.000 7.472" Properties=species:S:1:pos:R:3 pbc="T T T"
Cs 1.134 0.000 2.219
Cs 9.123 0.000 5.253
Tl -0.590 0.000 5.794
Tl 10.847 0.000 1.678
Sb 5.521 0.000 0.607
Sb 5.128 0.000 3.736
Sb 4.736 0.000 6.865
```

## Properties
Space group: C2/m (12)

---

# 2
CePaTe: relaxed, PBE-GGA.

Structure (extended XYZ):
```
3
Lattice="-1.931 1.931 5.169 1.931 -1.931 5.169 1.931 1.931 -5.169" Properties=species:S:1:pos:R:3 pbc="T T T"
Ce 0.000 0.000 0.000
Pa 0.000 0.000 6.331
Te 0.000 0.000 3.159
```

## Properties
Space group: I4mm (107)
ΔE to the lowest computed polymorph in meV/atom: 0

---

# 3
Y8TmSc4: relaxed, PBE-GGA.

Structure (extended XYZ):
```
13
Lattice="3.501 2.021 9.289 -3.501 2.021 9.289 0.000 -4.043 9.289" Properties=species:S:1:pos:R:3 pbc="T T T"
Y 0.000 0.000 5.893
Y -1.864 -1.076 15.986
Y 0.000 -2.152 11.880
Y -1.864 1.076 11.880
Y 1.864 -1.076 15.986
Y 0.000 2.152 15.986
Y 1.864 1.076 11.880
Y 0.000 0.000 21.974
Tm 0.000 0.000 13.933
Sc 0.000 0.000 0.000
Sc -1.751 -1.011 9.289
Sc -1.751 1.011 18.578
Sc 0.000 2.021 9.289
```

## Properties
Space group: R-3m (166)
Calculated formation energy in eV/atom: 0.2659

---

# 4
PmSm3Th: relaxed, PBE-GGA.

Structure (extended XYZ):
```
10
Lattice="3.471 2.004 8.745 -3.471 2.004 8.745 0.000 -4.008 8.745" Properties=species:S:1:pos:R:3 pbc="T T T"
Pm 0.000 0.000 4.742
Pm 0.000 0.000 21.493
Sm 0.000 -2.052 10.487
Sm -1.777 1.026 10.487
Sm -1.777 -1.026 15.748
Sm 1.777 1.026 10.487
Sm 1.777 -1.026 15.748
Sm 0.000 2.052 15.748
Th 0.000 0.000 7.845
Th 0.000 0.000 18.391
```

## Properties
Space group: R-3m (166)
ΔE to the lowest computed polymorph in meV/atom: 233
Calculated formation energy in eV/atom: 0.2921

---

# 5
CaTc2Pt2: relaxed, PBE-GGA.

Structure (extended XYZ):
```
10
Lattice="7.938 0.000 0.000 0.000 7.938 0.000 0.000 0.000 2.760" Properties=species:S:1:pos:R:3 pbc="T T T"
Ca 0.000 0.000 0.000
Ca 3.969 3.969 0.000
Tc 0.857 3.112 0.000
Tc 3.112 7.081 0.000
Tc 4.826 0.857 0.000
Tc 7.081 4.826 0.000
Pt 1.479 5.448 1.380
Pt 2.490 1.479 1.380
Pt 5.448 6.459 1.380
Pt 6.459 2.490 1.380
```

## Properties
Space group: P4/mbm (127)
Calculated formation energy in eV/atom: -0.1478

---

# 6
SrPuTl2S4: relaxed, PBE-GGA.

Structure (extended XYZ):
```
8
Lattice="7.274 0.000 0.000 0.000 4.181 0.000 -2.401 0.000 7.392" Properties=species:S:1:pos:R:3 pbc="T T T"
Sr 0.000 0.000 0.000
Pu 3.637 2.090 0.000
Tl -1.201 2.090 3.696
Tl 2.436 0.000 3.696
S 1.442 2.090 1.518
S 0.193 0.000 5.926
S 4.679 0.000 1.467
S 3.430 2.090 5.874
```

## Properties
Space group: P2/m (10)

---

| no. | magnetic moment (μB per formula unit) | density of states at the Fermi level (states/eV/cell) | VASP energy (eV per cell) |
| --- | --- | --- | --- |
| 1 | 0.00 | 2.89 | -20.52 |
| 2 | 0.00 | 7.47 | -19.55 |
| 3 | 0.00 | 18.90 | -78.05 |
| 4 | 0.00 | 16.49 | -49.73 |
| 5 | 0.00 | 7.34 | -71.11 |
| 6 | 4.00 | 10.15 | -46.86 |